# 1
Computed, not measured: an optimized crystal structure of AlAgBr2 at the PBE level of DFT.

```
4
Lattice="3.6402 0.0000 0.0000 0.0000 3.6402 0.0000 0.0000 0.0000 8.0661" Properties=species:S:1:pos:R:3 pbc="T T T"
Al 1.8201 1.8201 5.9811
Br 1.8201 1.8201 2.7165
Br 0.0000 0.0000 7.3978
Ag 0.0000 0.0000 4.0698
```

- ΔE to the lowest computed polymorph: 0.355 eV per atom
- Calculated volume: 107 Å³/cell
- Size of the total moment: 0.00 μB/cell
- Raw formation energy: -0.128 eV per atom

=====

# 2
Computed, not measured: an optimized crystal structure of La4CoBiSb at the PBE level of DFT.

```
14
Lattice="-0.0623 0.0539 7.1078 6.7603 -2.2100 0.0760 2.7810 8.3832 -3.5935" Properties=species:S:1:pos:R:3 pbc="T T T"
La 7.3780 5.4005 0.0237
La 3.9819 6.5791 3.5394
La 1.3593 4.2185 1.7571
Bi 5.6324 0.1842 3.6023
La 1.3905 4.1916 -1.7968
Co 6.4422 2.5385 0.0372
Sb 2.2938 1.2939 0.0103
Co 3.0368 3.6885 3.5530
La 2.1010 0.8265 3.5665
Sb 7.1852 4.9331 3.5800
La 4.7706 3.0866 -1.7587
Bi 3.8465 6.0428 -0.0121
La 4.7395 3.1135 1.7951
La 5.4971 -0.3521 0.0509
```

- Calculated volume: 447 Å³/cell
- Size of the total moment: 0.00 μB/cell
- Raw formation energy: -0.724 eV per atom

=====

# 3
Computed, not measured: an optimized crystal structure of V2Sn2P at the PBE level of DFT.

```
10
Lattice="6.2652 0.0000 0.0000 0.0000 6.2652 0.0000 0.0000 0.0000 4.4913" Properties=species:S:1:pos:R:3 pbc="T T T"
V 2.2190 5.3516 0.0000
Sn 5.2129 2.0803 2.2457
V 4.0462 0.9136 0.0000
P 3.1326 3.1326 0.0000
V 5.3516 4.0462 0.0000
P 0.0000 0.0000 0.0000
V 0.9136 2.2190 0.0000
Sn 4.1849 5.2129 2.2457
Sn 2.0803 1.0523 2.2457
Sn 1.0523 4.1849 2.2457
```

- Calculated volume: 176 Å³/cell
- Size of the total moment: 0.36 μB/cell
- Formation enthalpy at 0 K: -0.010 eV/atom

=====

# 4
Computed, not measured: an optimized crystal structure of Cs2MgIn3Sn4 at the PBE level of DFT.

```
10
Lattice="-2.9981 -2.9158 3.1372 4.2816 -1.9445 2.2844 -0.2503 9.0577 8.1792" Properties=species:S:1:pos:R:3 pbc="T T T"
In -0.1251 4.5288 4.0896
In 2.1082 0.2099 2.2097
Mg 0.5166 2.0987 6.8004
Cs -1.5619 0.8183 3.6240
Sn -1.6560 4.2212 6.6968
Sn 0.0000 0.0000 0.0000
Sn 2.0475 2.4064 4.1931
Cs 1.9534 5.8093 7.2660
Sn 0.6418 -2.4302 2.7108
In -1.7167 6.4177 8.6803
```

- Calculated volume: 334 Å³/cell
- Size of the total moment: 0.00 μB/cell
- Formation enthalpy at 0 K: -0.173 eV/atom

=====

# 5
Computed, not measured: an optimized crystal structure of K3NbHOF7 at the PBE level of DFT.

```
26
Lattice="-7.4134 3.9555 0.9973 1.7587 -6.1192 5.5734 2.7549 4.5665 4.5318" Properties=species:S:1:pos:R:3 pbc="T T T"
F -2.2603 1.3201 6.3569
H -1.4499 1.2014 5.5512
F 1.6448 -2.0552 6.6236
K 1.7353 2.0524 5.4871
F -1.8617 -2.0294 7.4562
F -3.1990 -1.4451 4.3100
F -4.5446 4.4581 4.4788
Nb 2.3175 -1.0386 8.2202
K -4.6352 0.3504 5.6154
H -2.8274 -1.0818 3.2853
F -0.6396 1.0828 4.7455
F -3.8566 1.9468 3.5612
O -6.3472 4.6825 2.3186
K -1.4492 1.7540 2.3196
K -2.2406 3.9680 5.9461
K -0.6593 -1.5652 5.1564
F 0.2991 3.8480 6.7925
F -0.0519 -4.2730 5.1417
O 3.4473 -2.2796 8.7839
Nb -5.2174 3.4415 2.8823
F 0.9137 -1.5079 3.0414
F -2.8480 6.6758 5.9608
K -1.4507 0.6488 8.7828
F -1.0381 4.4323 3.6462
F -3.8136 3.9107 8.0611
F 0.9567 0.4561 7.5413
```

- Calculated volume: 448 Å³/cell
- Size of the total moment: 0.27 μB/cell
- Energy: -141.7 eV per cell

=====

# 6
Computed, not measured: an optimized crystal structure of GeSbH2N at the PBE level of DFT.

```
5
Lattice="3.7925 0.0000 0.0000 0.0000 4.4954 0.0000 0.0000 0.0000 3.7925" Properties=species:S:1:pos:R:3 pbc="T T T"
H 1.8963 0.0000 0.0000
N 0.0000 2.2477 0.0000
Ge 1.8963 2.2477 1.8963
Sb 0.0000 0.0000 0.0000
H 0.0000 0.0000 1.8963
```

- Calculated volume: 65 Å³/cell
- Size of the total moment: 0.00 μB/cell
- Energy: -19.6 eV per cell